Below is Ac2LaPuO8 after structural relaxation, with properties calculated at the PBE-GGA level.

```
12
Lattice="-2.1386 1.8666 3.1850 0.2487 -5.2611 2.3789 6.7566 1.8744 3.4384" Properties=species:S:1:pos:R:3 pbc="T T T"
Ac 4.1213 -0.2918 5.3601
Ac 0.7455 -1.2284 3.6422
La 3.3783 0.9372 1.7192
Pu 0.0000 0.0000 0.0000
O 1.4877 -3.5858 2.7459
O -1.0788 -3.1008 3.8100
O -0.5474 0.9764 4.2580
O 3.3791 2.0656 6.2563
O 5.9456 1.5806 5.1922
O 5.4142 -2.4966 4.7443
O 2.4443 -2.0290 5.1716
O 2.4225 0.5088 3.8307
```

crystal system: monoclinic
energy: -8.628 eV per atom
V: 191 Å³/cell